# LiPd2Au PBE-GGA optimized geometry
data_LiPd2Au
_chemical_formula_sum 'Li2 Pd4 Au2'
_cell_length_a 9.806
_cell_length_b 9.806
_cell_length_c 9.806
_cell_angle_alpha 157.80
_cell_angle_beta 157.80
_cell_angle_gamma 31.60
_symmetry_space_group_name_H-M 'P 1'
_symmetry_Int_Tables_number 1
loop_
_symmetry_equiv_pos_as_xyz
'x,y,z'
loop_
_atom_site_label
_atom_site_fract_x
_atom_site_fract_y
_atom_site_fract_z
Li1 0.000 0.000 0.000
Li2 0.750 0.250 0.500
Pd1 0.119 0.625 0.994
Pd2 0.375 0.369 0.494
Pd3 0.631 0.125 0.006
Pd4 0.875 0.881 0.506
Au1 0.250 0.750 0.500
Au2 0.500 0.500 0.000
# - DFT total energy: -3.97 eV/atom
# - D(E_F): 5.489 states/eV per cell
# - Crystal system: tetragonal
# - SG: I-42d, No. 122
# - Energy relative to the lowest polymorph listed for this composition: 277 meV/atom
# - ΔH_f (0 K): -79 meV/atom

***

# BaGaPO2 PBE-GGA optimized geometry
data_BaGaPO2
_chemical_formula_sum 'Ba1 Ga1 P1 O2'
_cell_length_a 4.298
_cell_length_b 4.298
_cell_length_c 4.608
_cell_angle_alpha 90.00
_cell_angle_beta 90.00
_cell_angle_gamma 90.00
_symmetry_space_group_name_H-M 'P 1'
_symmetry_Int_Tables_number 1
loop_
_symmetry_equiv_pos_as_xyz
'x,y,z'
loop_
_atom_site_label
_atom_site_fract_x
_atom_site_fract_y
_atom_site_fract_z
Ba1 0.000 0.000 0.000
Ga1 0.500 0.500 0.500
P1 0.500 0.500 0.000
O1 0.000 0.500 0.500
O2 0.500 0.000 0.500
# - DFT total energy: -4.95 eV/atom
# - D(E_F): 4.660 states/eV per cell
# - Crystal system: tetragonal
# - SG: P4/mmm, No. 123
# - Energy relative to the lowest polymorph listed for this composition: 0 meV/atom

***

# Pu8Sb3Te5 PBE-GGA optimized geometry
data_Pu8Sb3Te5
_chemical_formula_sum 'Pu8 Sb3 Te5'
_cell_length_a 8.866
_cell_length_b 8.866
_cell_length_c 8.866
_cell_angle_alpha 60.04
_cell_angle_beta 60.04
_cell_angle_gamma 60.04
_symmetry_space_group_name_H-M 'P 1'
_symmetry_Int_Tables_number 1
loop_
_symmetry_equiv_pos_as_xyz
'x,y,z'
loop_
_atom_site_label
_atom_site_fract_x
_atom_site_fract_y
_atom_site_fract_z
Pu1 0.247 0.750 0.750
Pu2 0.249 0.249 0.249
Pu3 0.250 0.250 0.753
Pu4 0.250 0.753 0.250
Pu5 0.750 0.247 0.750
Pu6 0.750 0.750 0.247
Pu7 0.751 0.751 0.751
Pu8 0.753 0.250 0.250
Sb1 0.000 0.000 0.500
Sb2 0.000 0.500 0.000
Sb3 0.500 0.000 0.000
Te1 0.000 0.000 0.000
Te2 0.000 0.500 0.500
Te3 0.500 0.000 0.500
Te4 0.500 0.500 0.000
Te5 0.500 0.500 0.500
# - DFT total energy: -9.82 eV/atom
# - D(E_F): 104.513 states/eV per cell
# - Crystal system: trigonal
# - SG: R-3m, No. 166

***

# AlPb3N PBE-GGA optimized geometry
data_AlPb3N
_chemical_formula_sum 'Al1 Pb3 N1'
_cell_length_a 5.009
_cell_length_b 5.009
_cell_length_c 5.009
_cell_angle_alpha 90.00
_cell_angle_beta 90.00
_cell_angle_gamma 90.00
_symmetry_space_group_name_H-M 'P 1'
_symmetry_Int_Tables_number 1
loop_
_symmetry_equiv_pos_as_xyz
'x,y,z'
loop_
_atom_site_label
_atom_site_fract_x
_atom_site_fract_y
_atom_site_fract_z
Al1 0.000 0.000 0.000
Pb1 0.000 0.500 0.500
Pb2 0.500 0.000 0.500
Pb3 0.500 0.500 0.000
N1 0.500 0.500 0.500
# - DFT total energy: -4.01 eV/atom
# - D(E_F): 2.637 states/eV per cell
# - Crystal system: cubic
# - SG: Pm-3m, No. 221
# - Energy relative to the lowest polymorph listed for this composition: 0 meV/atom

***

# Li3Hg2Au3 PBE-GGA optimized geometry
data_Li3Hg2Au3
_chemical_formula_sum 'Li3 Hg2 Au3'
_cell_length_a 8.806
_cell_length_b 8.806
_cell_length_c 4.328
_cell_angle_alpha 103.69
_cell_angle_beta 103.69
_cell_angle_gamma 26.24
_symmetry_space_group_name_H-M 'P 1'
_symmetry_Int_Tables_number 1
loop_
_symmetry_equiv_pos_as_xyz
'x,y,z'
loop_
_atom_site_label
_atom_site_fract_x
_atom_site_fract_y
_atom_site_fract_z
Li1 0.000 0.000 0.000
Li2 0.121 0.121 0.620
Li3 0.879 0.879 0.380
Hg1 0.249 0.249 0.249
Hg2 0.751 0.751 0.751
Au1 0.387 0.387 0.887
Au2 0.500 0.500 0.500
Au3 0.613 0.613 0.113
# - DFT total energy: -2.38 eV/atom
# - D(E_F): 1.903 states/eV per cell
# - Crystal system: monoclinic
# - SG: C2/m, No. 12
# - ΔH_f (0 K): -361 meV/atom

***

# Ca2Al7Pt PBE-GGA optimized geometry
data_Ca2Al7Pt
_chemical_formula_sum 'Ca2 Al7 Pt1'
_cell_length_a 4.191
_cell_length_b 4.191
_cell_length_c 11.472
_cell_angle_alpha 90.00
_cell_angle_beta 90.00
_cell_angle_gamma 90.00
_symmetry_space_group_name_H-M 'P 1'
_symmetry_Int_Tables_number 1
loop_
_symmetry_equiv_pos_as_xyz
'x,y,z'
loop_
_atom_site_label
_atom_site_fract_x
_atom_site_fract_y
_atom_site_fract_z
Ca1 0.000 0.500 0.242
Ca2 0.500 0.000 0.758
Al1 0.000 0.000 0.000
Al2 0.000 0.000 0.500
Al3 0.000 0.500 0.643
Al4 0.000 0.500 0.869
Al5 0.500 0.000 0.131
Al6 0.500 0.000 0.357
Al7 0.500 0.500 0.500
Pt1 0.500 0.500 0.000
# - DFT total energy: -4.03 eV/atom
# - D(E_F): 2.441 states/eV per cell
# - Crystal system: tetragonal
# - SG: P-4m2, No. 115
# - ΔH_f (0 K): -408 meV/atom

***

# RbZnPCl2 PBE-GGA optimized geometry
data_RbZnPCl2
_chemical_formula_sum 'Rb1 Zn1 P1 Cl2'
_cell_length_a 5.425
_cell_length_b 5.425
_cell_length_c 4.682
_cell_angle_alpha 90.00
_cell_angle_beta 90.00
_cell_angle_gamma 90.00
_symmetry_space_group_name_H-M 'P 1'
_symmetry_Int_Tables_number 1
loop_
_symmetry_equiv_pos_as_xyz
'x,y,z'
loop_
_atom_site_label
_atom_site_fract_x
_atom_site_fract_y
_atom_site_fract_z
Rb1 0.000 0.000 0.000
Zn1 0.500 0.500 0.500
P1 0.500 0.500 0.000
Cl1 0.000 0.500 0.500
Cl2 0.500 0.000 0.500
# - DFT total energy: -2.90 eV/atom
# - D(E_F): 0.158 states/eV per cell
# - Crystal system: tetragonal
# - SG: P4/mmm, No. 123
# - Energy relative to the lowest polymorph listed for this composition: 0 meV/atom

***

# TbNd2TmTe5 PBE-GGA optimized geometry
data_TbNd2TmTe5
_chemical_formula_sum 'Tb1 Nd2 Tm1 Te5'
_cell_length_a 5.487
_cell_length_b 5.487
_cell_length_c 11.560
_cell_angle_alpha 90.00
_cell_angle_beta 90.00
_cell_angle_gamma 90.00
_symmetry_space_group_name_H-M 'P 1'
_symmetry_Int_Tables_number 1
loop_
_symmetry_equiv_pos_as_xyz
'x,y,z'
loop_
_atom_site_label
_atom_site_fract_x
_atom_site_fract_y
_atom_site_fract_z
Tb1 0.000 0.000 0.000
Nd1 0.500 0.500 0.336
Nd2 0.500 0.500 0.664
Tm1 0.000 0.000 0.500
Te1 0.000 0.000 0.247
Te2 0.000 0.000 0.753
Te3 0.000 0.500 0.500
Te4 0.500 0.000 0.500
Te5 0.500 0.500 0.000
# - DFT total energy: -4.64 eV/atom
# - D(E_F): 5.515 states/eV per cell
# - Crystal system: tetragonal
# - SG: P4/mmm, No. 123

***

# Tb6TmTl PBE-GGA optimized geometry
data_Tb6TmTl
_chemical_formula_sum 'Tb6 Tm1 Tl1'
_cell_length_a 4.906
_cell_length_b 4.906
_cell_length_c 10.056
_cell_angle_alpha 90.00
_cell_angle_beta 90.00
_cell_angle_gamma 90.00
_symmetry_space_group_name_H-M 'P 1'
_symmetry_Int_Tables_number 1
loop_
_symmetry_equiv_pos_as_xyz
'x,y,z'
loop_
_atom_site_label
_atom_site_fract_x
_atom_site_fract_y
_atom_site_fract_z
Tb1 0.000 0.000 0.000
Tb2 0.000 0.000 0.500
Tb3 0.000 0.500 0.246
Tb4 0.000 0.500 0.754
Tb5 0.500 0.000 0.246
Tb6 0.500 0.000 0.754
Tm1 0.500 0.500 0.500
Tl1 0.500 0.500 0.000
# - DFT total energy: -4.41 eV/atom
# - D(E_F): 9.413 states/eV per cell
# - Crystal system: tetragonal
# - SG: P4/mmm, No. 123
# - ΔH_f (0 K): -78 meV/atom

***

# ZrZn2Co2 PBE-GGA optimized geometry
data_ZrZn2Co2
_chemical_formula_sum 'Zr2 Zn4 Co4'
_cell_length_a 7.093
_cell_length_b 7.093
_cell_length_c 2.791
_cell_angle_alpha 90.00
_cell_angle_beta 90.00
_cell_angle_gamma 90.00
_symmetry_space_group_name_H-M 'P 1'
_symmetry_Int_Tables_number 1
loop_
_symmetry_equiv_pos_as_xyz
'x,y,z'
loop_
_atom_site_label
_atom_site_fract_x
_atom_site_fract_y
_atom_site_fract_z
Zr1 0.000 0.000 0.000
Zr2 0.500 0.500 0.000
Zn1 0.121 0.379 0.000
Zn2 0.379 0.879 0.000
Zn3 0.621 0.121 0.000
Zn4 0.879 0.621 0.000
Co1 0.177 0.677 0.500
Co2 0.323 0.177 0.500
Co3 0.677 0.823 0.500
Co4 0.823 0.323 0.500
# - DFT total energy: -5.13 eV/atom
# - D(E_F): 7.722 states/eV per cell
# - Crystal system: tetragonal
# - SG: P4/mbm, No. 127
# - Energy relative to the lowest polymorph listed for this composition: 24 meV/atom
# - ΔH_f (0 K): -64 meV/atom

***

D(E_F) of number 7 (RbZnPCl2)? 0.158 states/eV per cell